# 1
Computed, not measured: a relaxed TlNi2Cl crystal at the PBE level of DFT.

Results
SG = Immm
formation energy from raw total energies = 1.29 eV per formula unit
crystal system = orthorhombic
energy relative to the lowest polymorph listed for this composition = 247.5 meV/atom

abc: 5.1624 5.1624 5.1624
angles: 145.93 114.04 76.37
Last column: nearest neighbours and their distance in Å.
Element x y z (fractional)
Tl (0.0000, 0.0000, 0.0000)  4 Ni 2.65
Ni (0.2685, 0.7685, 0.5000)  2 Cl 2.41, 2 Tl 2.65
Ni (0.7315, 0.2315, 0.5000)  2 Cl 2.41, 2 Tl 2.65
Cl (0.5000, 0.5000, 0.0000)  4 Ni 2.41

=====

# 2
Computed, not measured: a relaxed LiCu9Ni2 crystal at the PBE level of DFT.

Results
ΔE_f = -0.0093 eV/atom
SG = P4/mmm
crystal system = tetragonal

abc: 3.6107 3.6107 10.7766
angles: 90.00 90.00 90.00
Last column: nearest neighbours and their distance in Å.
Element x y z (fractional)
Li (0.0000, 0.0000, 0.0000)  12 Cu 2.55-2.57
Cu (0.0000, 0.5000, 0.1701)  2 Ni 2.53, 8 Cu 2.53-2.57, 2 Li 2.57
Cu (0.0000, 0.5000, 0.5000)  8 Cu 2.54-2.55, 4 Ni 2.54
Cu (0.0000, 0.5000, 0.8299)  2 Ni 2.53, 8 Cu 2.53-2.57, 2 Li 2.57
Cu (0.5000, 0.0000, 0.1701)  2 Ni 2.53, 8 Cu 2.53-2.57, 2 Li 2.57
Cu (0.5000, 0.0000, 0.5000)  8 Cu 2.54-2.55, 4 Ni 2.54
Cu (0.5000, 0.0000, 0.8299)  2 Ni 2.53, 8 Cu 2.53-2.57, 2 Li 2.57
Cu (0.5000, 0.5000, 0.0000)  4 Li 2.55, 8 Cu 2.57
Cu (0.5000, 0.5000, 0.3346)  8 Cu 2.53-2.54, 4 Ni 2.55
Cu (0.5000, 0.5000, 0.6654)  8 Cu 2.53-2.54, 4 Ni 2.55
Ni (0.0000, 0.0000, 0.3343)  12 Cu 2.53-2.55
Ni (0.0000, 0.0000, 0.6657)  12 Cu 2.53-2.55

=====

# 3
Computed, not measured: a relaxed LuSbRh2 crystal at the PBE level of DFT.

Results
SG = P4/mmm
formation energy from raw total energies = -2.65 eV per formula unit
crystal system = tetragonal
energy relative to the lowest polymorph listed for this composition = 114.4 meV/atom

abc: 3.4476 3.4476 6.1980
angles: 90.00 90.00 90.00
Last column: nearest neighbours and their distance in Å.
Element x y z (fractional)
Lu (0.0000, 0.0000, 0.0000)  8 Rh 2.92, 2 Sb 3.10
Sb (0.0000, 0.0000, 0.5000)  8 Rh 2.86, 2 Lu 3.10
Rh (0.5000, 0.5000, 0.2590)  4 Sb 2.86, 4 Lu 2.92, 1 Rh 2.99
Rh (0.5000, 0.5000, 0.7410)  4 Sb 2.86, 4 Lu 2.92, 1 Rh 2.99

=====

Calculated total energy (eV per atom)
-3.62, -4.20, -6.50